[1]
The following is a PBE calculation of a relaxed structure of LaGaCo2N, from the Alexandria database.

abc: 3.923 10.977 6.921
angles: 90.00 90.00 90.00
Space group Cmcm (No. 63)
Inequivalent atoms, fractional coordinates:
La1 0.000 0.054 0.250
Ga1 0.000 0.225 0.750
Co1 0.000 0.343 0.058
N1 0.000 0.500 0.000

N(E_F)	0.625	states/eV/atom
raw formation energy	-0.58	eV/atom



[2]
The following is a PBE calculation of a relaxed structure of Ac3Al2Pd9, from the Alexandria database.

abc: 4.223 10.768 12.741
angles: 90.00 90.00 90.00
Space group Immm (No. 71)
Inequivalent atoms, fractional coordinates:
Ac1 0.000 0.000 0.000
Ac2 0.000 0.000 0.315
Al1 0.000 0.237 0.500
Pd1 0.000 0.284 0.114
Pd2 0.000 0.369 0.330
Pd3 0.000 0.500 0.000

energy of formation from the pure elements	-0.754	eV/atom
N(E_F)	0.507	states/eV/atom



[3]
The following is a PBE calculation of a relaxed structure of TmHfCuRh, from the Alexandria database.

abc: 6.657 6.657 6.657
angles: 90.00 90.00 90.00
Space group F-43m (No. 216)
Inequivalent atoms, fractional coordinates:
Tm1 0.000 0.000 0.000
Hf1 0.000 0.000 0.500
Cu1 0.250 0.250 0.750
Rh1 0.250 0.250 0.250

energy of formation from the pure elements	-0.525	eV/atom
N(E_F)	0.570	states/eV/atom



[4]
The following is a PBE calculation of a relaxed structure of MoPt8Rh2, from the Alexandria database.

abc: 7.703 12.180 5.270
angles: 90.00 133.00 90.00
Space group C2/m (No. 12)
Inequivalent atoms, fractional coordinates:
Mo1 0.000 0.000 0.000
Pt1 0.000 0.223 0.000
Pt2 0.115 0.500 0.389
Pt3 0.203 0.110 0.823
Rh1 0.000 0.307 0.500

energy of formation from the pure elements	0.088	eV/atom
N(E_F)	0.975	states/eV/atom



[5]
The following is a PBE calculation of a relaxed structure of CaHf2Ir2, from the Alexandria database.

abc: 8.068 8.068 3.033
angles: 90.00 90.00 90.00
Space group P4/mbm (No. 127)
Inequivalent atoms, fractional coordinates:
Ca1 0.000 0.000 0.000
Hf1 0.143 0.357 0.000
Ir1 0.150 0.650 0.500

energy of formation from the pure elements	-0.631	eV/atom
N(E_F)	0.509	states/eV/atom



[6]
The following is a PBE calculation of a relaxed structure of Dy5Mg2Pb4, from the Alexandria database.

abc: 20.671 4.443 7.700
angles: 90.00 105.67 90.00
Space group C2/m (No. 12)
Inequivalent atoms, fractional coordinates:
Dy1 0.000 0.000 0.000
Dy2 0.148 0.500 0.946
Dy3 0.172 0.500 0.447
Mg1 0.071 0.000 0.614
Pb1 0.019 0.500 0.295
Pb2 0.215 0.000 0.749

energy of formation from the pure elements	-0.150	eV/atom
N(E_F)	0.971	states/eV/atom



[7]
The following is a PBE calculation of a relaxed structure of TiV12Tc6, from the Alexandria database.

abc: 10.8466 10.8466 8.7072
angles: 90.00 90.00 120.00
Space group R-3m (No. 166, hexagonal axes)
Inequivalent atoms, fractional coordinates:
Ti1 0.0000 0.0000 0.0000
V1 0.0000 0.3876 0.5000
V2 0.0840 0.1680 0.2944
Tc1 0.0596 0.5298 0.2378

energy of formation from the pure elements	0.349	eV/atom
N(E_F)	0.957	states/eV/atom



[8]
The following is a PBE calculation of a relaxed structure of CuPbAu2, from the Alexandria database.

abc: 5.660 8.020 3.527
angles: 90.00 90.00 90.00
Space group Cmmm (No. 65)
Inequivalent atoms, fractional coordinates:
Cu1 0.000 0.000 0.000
Pb1 0.000 0.500 0.000
Au1 0.250 0.250 0.500

energy of formation from the pure elements	0.146	eV/atom
N(E_F)	0.231	states/eV/atom



[9]
The following is a PBE calculation of a relaxed structure of BeTeO2, from the Alexandria database.

abc: 2.9591 2.9591 17.8922
angles: 90.00 90.00 120.00
Space group R-3m (No. 166, hexagonal axes)
Inequivalent atoms, fractional coordinates:
Be1 0.0000 0.0000 0.0000
Te1 0.0000 0.0000 0.5000
O1 0.0000 0.0000 0.3845

N(E_F)	0.156	states/eV/atom
raw formation energy	-1.12	eV/atom



[10]
The following is a PBE calculation of a relaxed structure of Rb4Sm3CrSe8, from the Alexandria database.

abc: 8.4512 8.4512 23.9772
angles: 90.00 90.00 120.00
Space group R-3m (No. 166, hexagonal axes)
Inequivalent atoms, fractional coordinates:
Rb1 0.0000 0.0000 0.0000
Rb2 0.0000 0.5000 0.0000
Sm1 0.0000 0.5000 0.5000
Cr1 0.0000 0.0000 0.5000
Se1 0.0000 0.0000 0.2342
Se2 0.0257 0.5129 0.2296

raw formation energy	-1.45	eV/atom



[11]
The following is a PBE calculation of a relaxed structure of CrTcHg2, from the Alexandria database.

abc: 4.148 4.148 8.271
angles: 90.00 90.00 90.00
Space group I-4m2 (No. 119)
Inequivalent atoms, fractional coordinates:
Cr1 0.000 0.000 0.000
Tc1 0.000 0.500 0.250
Hg1 0.000 0.000 0.500
Hg2 0.000 0.500 0.750

energy of formation from the pure elements	0.616	eV/atom
N(E_F)	0.664	states/eV/atom



[12]
The following is a PBE calculation of a relaxed structure of LiRuBr, from the Alexandria database.

abc: 3.1129 3.1129 6.1261
angles: 90.00 90.00 120.00
Space group P3m1 (No. 156)
Inequivalent atoms, fractional coordinates:
Li1 0.0000 0.0000 0.0000
Ru1 0.6667 0.3333 0.3414
Br1 0.3333 0.6667 0.6511

N(E_F)	0.946	states/eV/atom
raw formation energy	0.38	eV/atom